Crystalline TaInIr2 at its relaxed geometry. Source: the Alexandria database, functional PBE.

Calculated values
ΔE_f = -0.17 eV per atom
Crystal system = tetragonal
D(E_F) = 3.48 states/eV/cell

a b c (Å): 4.2116 4.2116 3.7734
angles (deg): 90.00 90.00 90.00
Element x y z (fractional)
Ta: 0.0000 0.0000 0.0000
In: 0.5000 0.5000 0.0000
Ir: 0.0000 0.5000 0.5000
Ir: 0.5000 0.0000 0.5000